Entry from the Alexandria database: a geometry-optimized YCdCoB2 structure (PBE).

The space group is P4/mmm (No. 123) and the conventional cell measures 4.018, 4.018 and 4.706 Å, with angles of 90.00, 90.00 and 90.00 degrees. Symmetry generates all atoms from Y at (0.000, 0.000, 0.000), Cd at (0.500, 0.500, 0.000), Co at (0.500, 0.500, 0.500) and B at (0.000, 0.500, 0.500).

The calculation puts the energy of formation from the pure elements at 0.42 eV per atom.